Material: Tb4NiTe2Se
Method: DFT, GGA-PBE
State: relaxed

abc: 4.0830 7.3794 7.4835
angles: 108.32 90.00 90.00
Sites, in units of the cell vectors:
Se1 0.0000 0.0000 0.0000
Te1 0.0000 0.5000 0.5000
Te2 0.5000 0.0000 0.5000
Tb1 0.0000 0.2842 0.7947
Tb2 0.5000 0.2513 0.2215
Tb3 0.0000 0.7158 0.2053
Tb4 0.5000 0.7487 0.7785
Ni1 0.5000 0.5000 0.0000

The total DFT energy (no corrections) comes out at -0.20091 Ha/atom. The calculation puts the energy relative to the elements, uncorrected at -1208 meV/atom.

=====

Material: Tb8NiTe4Se3
Method: DFT, GGA-PBE
State: relaxed

abc: 8.4117 8.5640 8.4124
angles: 119.41 120.00 90.00
Sites, in units of the cell vectors:
Tb1 0.7734 0.2859 0.0125
Tb2 0.2266 0.7141 0.9875
Tb3 0.2266 0.7141 0.4532
Tb4 0.7413 0.7239 0.4825
Tb5 0.7734 0.2859 0.5468
Tb6 0.2391 0.2859 0.0125
Tb7 0.7609 0.7141 0.9875
Tb8 0.2587 0.2761 0.5175
Se1 0.5000 0.5000 0.0000
Se2 0.0000 0.5000 0.5000
Se3 0.5000 0.5000 0.5000
Te1 0.0000 0.0000 0.0000
Te2 0.5000 0.0000 0.5000
Te3 0.0000 0.0000 0.5000
Te4 0.5000 0.0000 0.0000
Ni1 0.0000 0.5000 0.0000

The total DFT energy (no corrections) comes out at -0.20299 Ha/atom. The calculation puts the energy relative to the elements, uncorrected at -1408 meV/atom.

=====

Material: TcNiSe
Method: DFT, GGA-PBE
State: relaxed

abc: 4.0431 4.0431 3.1012
angles: 90.00 90.00 120.00
Sites, in units of the cell vectors:
Se1 0.3333 0.6667 0.3908
Ni1 0.0000 0.0000 0.0521
Tc1 0.6667 0.3333 0.5571

The total DFT energy (no corrections) comes out at -0.23091 Ha/atom. The calculation puts the energy relative to the elements, uncorrected at 261 meV/atom. The energy relative to the lowest polymorph listed for this composition is 0.177 eV per formula unit.

=====

Material: Tc2NiSe
Method: DFT, GGA-PBE
State: relaxed

abc: 8.1864 8.1864 8.1864
angles: 20.22 20.22 20.22
Site moments in Bohr magnetons follow the coordinates.
Sites, in units of the cell vectors:
Se1 0.7500 0.7500 0.7500  0.00
Tc1 0.0007 0.0007 0.0007  0.05
Tc2 0.4993 0.4993 0.4993  0.05
Ni1 0.2500 0.2500 0.2500  0.17

The total DFT energy (no corrections) comes out at -0.26257 Ha/atom. The calculation puts the energy relative to the elements, uncorrected at 354 meV/atom.

=====

Material: TcNiSe
Method: DFT, GGA-PBE
State: relaxed

abc: 2.9499 2.9499 5.8226
angles: 90.00 90.00 120.00
Sites, in units of the cell vectors:
Tc1 0.6667 0.3333 0.6601
Ni1 0.0000 0.0000 0.0006
Se1 0.3333 0.6667 0.3393

The total DFT energy (no corrections) comes out at -0.23185 Ha/atom. The calculation puts the energy relative to the elements, uncorrected at 235 meV/atom. The energy relative to the lowest polymorph listed for this composition is 0.100 eV per formula unit.

=====

Material: Tc2NiSe
Method: DFT, GGA-PBE
State: relaxed

abc: 3.0267 3.0267 6.0625
angles: 90.00 90.00 89.99
Sites, in units of the cell vectors:
Tc1 0.0000 0.0000 0.4880
Tc2 0.0000 0.0000 0.0120
Ni1 0.5000 0.5000 0.2500
Se1 0.5000 0.5000 0.7500

The total DFT energy (no corrections) comes out at -0.26802 Ha/atom. The calculation puts the energy relative to the elements, uncorrected at 206 meV/atom.

=====

Material: Tc2NiSe
Method: DFT, GGA-PBE
State: relaxed

abc: 4.6127 4.6127 4.5099
angles: 85.84 85.84 36.86
Sites, in units of the cell vectors:
Se1 0.2493 0.2493 0.2860
Tc1 0.0144 0.0144 0.9747
Tc2 0.7506 0.7506 0.7428
Ni1 0.4858 0.4858 0.4965

The total DFT energy (no corrections) comes out at -0.26744 Ha/atom. The calculation puts the energy relative to the elements, uncorrected at 222 meV/atom.

=====

Material: TcNiSe3
Method: DFT, GGA-PBE
State: relaxed

abc: 4.6861 4.6861 4.6861
angles: 90.00 90.00 90.00
Site moments in Bohr magnetons follow the coordinates.
Sites, in units of the cell vectors:
Se1 0.5000 0.0000 0.0000  -0.11
Se2 0.0000 0.5000 0.0000  -0.15
Se3 0.0000 0.0000 0.5000  -0.06
Ni1 0.0000 0.0000 0.0000  -0.05
Tc1 0.5000 0.5000 0.5000  3.43

The total DFT energy (no corrections) comes out at -0.16751 Ha/atom. The calculation puts the energy relative to the elements, uncorrected at 762 meV/atom. The energy relative to the lowest polymorph listed for this composition is 0.000 eV per formula unit.

=====

Material: TcNi4Se
Method: DFT, GGA-PBE
State: relaxed

abc: 4.7741 4.7741 4.7741
angles: 60.00 60.00 60.00
Site moments in Bohr magnetons follow the coordinates.
Sites, in units of the cell vectors:
Ni1 0.8768 0.3744 0.3744  0.55
Ni2 0.3744 0.3744 0.8768  0.55
Ni3 0.3744 0.8768 0.3744  0.55
Ni4 0.3744 0.3744 0.3744  0.55
Tc1 0.0000 0.0000 0.0000  1.56
Se1 0.7500 0.7500 0.7500  -0.02

The total DFT energy (no corrections) comes out at -0.21353 Ha/atom. The calculation puts the energy relative to the elements, uncorrected at 352 meV/atom.

=====

Material: Tc2NiSe
Method: DFT, GGA-PBE
State: relaxed

abc: 2.7275 2.7275 8.6553
angles: 90.00 90.00 113.24
Sites, in units of the cell vectors:
Tc1 0.5000 0.5000 0.2556
Tc2 0.0000 0.0000 0.0127
Se1 0.5000 0.5000 0.7349
Ni1 0.0000 0.0000 0.4969

The total DFT energy (no corrections) comes out at -0.25940 Ha/atom. The calculation puts the energy relative to the elements, uncorrected at 441 meV/atom.

=====

Material: Tc2NiSe
Method: DFT, GGA-PBE
State: relaxed

abc: 4.3881 4.3881 4.8208
angles: 79.31 79.31 38.74
Sites, in units of the cell vectors:
Tc1 0.0026 0.0026 0.9863
Tc2 0.4974 0.4974 0.5137
Ni1 0.7500 0.7500 0.7500
Se1 0.2500 0.2500 0.2500

The total DFT energy (no corrections) comes out at -0.26511 Ha/atom. The calculation puts the energy relative to the elements, uncorrected at 286 meV/atom.

=====

Material: Tc2NiSe2
Method: DFT, GGA-PBE
State: relaxed

abc: 3.9665 3.9665 6.1568
angles: 71.21 71.21 90.00
Sites, in units of the cell vectors:
Tc1 0.6111 0.6111 0.7777
Tc2 0.3889 0.3889 0.2223
Se1 0.2500 0.7500 0.5000
Se2 0.7500 0.2500 0.5000
Ni1 0.0000 0.0000 0.0000

The total DFT energy (no corrections) comes out at -0.22351 Ha/atom. The calculation puts the energy relative to the elements, uncorrected at 614 meV/atom. The energy relative to the lowest polymorph listed for this composition is 1.369 eV per formula unit.

=====

Material: Tc2NiSe2
Method: DFT, GGA-PBE
State: relaxed

abc: 6.9400 6.9400 3.2186
angles: 90.00 90.00 90.00
Sites, in units of the cell vectors:
Tc1 0.3571 0.8571 0.0000
Tc2 0.8571 0.6429 0.0000
Tc3 0.1429 0.3571 0.0000
Tc4 0.6429 0.1429 0.0000
Ni1 0.5000 0.5000 0.0000
Ni2 0.0000 0.0000 0.0000
Se1 0.6550 0.8450 0.5000
Se2 0.3450 0.1550 0.5000
Se3 0.8450 0.3450 0.5000
Se4 0.1550 0.6550 0.5000

The total DFT energy (no corrections) comes out at -0.23357 Ha/atom. The calculation puts the energy relative to the elements, uncorrected at 341 meV/atom. The energy relative to the lowest polymorph listed for this composition is 0.000 eV per formula unit.

=====

Material: Tc2NiSe
Method: DFT, GGA-PBE
State: relaxed

abc: 3.8679 2.9467 5.3736
angles: 70.32 90.00 90.00
Sites, in units of the cell vectors:
Se1 0.5000 0.7500 0.7500
Ni1 0.5000 0.2500 0.2500
Tc1 0.0000 0.6383 0.4960
Tc2 0.0000 0.8617 0.0040

The total DFT energy (no corrections) comes out at -0.26425 Ha/atom. The calculation puts the energy relative to the elements, uncorrected at 309 meV/atom.

=====

Material: Tc2NiSe
Method: DFT, GGA-PBE
State: relaxed

abc: 4.3360 4.3360 4.3360
angles: 60.00 60.00 60.00
Site moments in Bohr magnetons follow the coordinates.
Sites, in units of the cell vectors:
Se1 0.7500 0.7500 0.7500  0.01
Tc1 0.2500 0.2500 0.2500  -0.06
Tc2 0.0000 0.0000 0.0000  0.14
Ni1 0.5000 0.5000 0.5000  0.25

The total DFT energy (no corrections) comes out at -0.25957 Ha/atom. The calculation puts the energy relative to the elements, uncorrected at 436 meV/atom.

=====

Material: TcNiSe
Method: DFT, GGA-PBE
State: relaxed

abc: 4.0012 4.0012 4.0012
angles: 60.00 60.00 60.00
Sites, in units of the cell vectors:
Ni1 0.5000 0.5000 0.5000
Tc1 0.0000 0.0000 0.0000
Se1 0.2500 0.2500 0.2500

The total DFT energy (no corrections) comes out at -0.23308 Ha/atom. The calculation puts the energy relative to the elements, uncorrected at 202 meV/atom. The energy relative to the lowest polymorph listed for this composition is 0.000 eV per formula unit.

=====

Material: Tc4NiSe
Method: DFT, GGA-PBE
State: relaxed

abc: 5.1266 5.1266 5.1266
angles: 60.00 60.00 60.00
Sites, in units of the cell vectors:
Tc1 0.3757 0.3757 0.8730
Tc2 0.3757 0.8730 0.3757
Tc3 0.3757 0.3757 0.3757
Tc4 0.8730 0.3757 0.3757
Ni1 0.7500 0.7500 0.7500
Se1 0.0000 0.0000 0.0000

The total DFT energy (no corrections) comes out at -0.28423 Ha/atom. The calculation puts the energy relative to the elements, uncorrected at 721 meV/atom.

=====

Material: Tc2NiSe2
Method: DFT, GGA-PBE
State: relaxed

abc: 7.0979 7.0979 3.0246
angles: 90.00 90.00 90.00
Sites, in units of the cell vectors:
Tc1 0.6499 0.8501 0.5000
Tc2 0.1499 0.6499 0.5000
Tc3 0.8501 0.3501 0.5000
Tc4 0.3501 0.1499 0.5000
Se1 0.6522 0.1522 0.0000
Se2 0.3478 0.8478 0.0000
Se3 0.1522 0.3478 0.0000
Se4 0.8478 0.6522 0.0000
Ni1 0.5000 0.5000 0.0000
Ni2 0.0000 0.0000 0.0000

The total DFT energy (no corrections) comes out at -0.23206 Ha/atom. The calculation puts the energy relative to the elements, uncorrected at 382 meV/atom. The energy relative to the lowest polymorph listed for this composition is 0.206 eV per formula unit.

=====

Material: TcNiSe
Method: DFT, GGA-PBE
State: relaxed

abc: 6.8381 6.5853 2.7736
angles: 83.24 73.00 23.75
Sites, in units of the cell vectors:
Ni1 0.0034 0.0034 0.9966
Se1 0.3360 0.3360 0.6640
Tc1 0.6606 0.6606 0.3394

The total DFT energy (no corrections) comes out at -0.22104 Ha/atom. The calculation puts the energy relative to the elements, uncorrected at 529 meV/atom. The energy relative to the lowest polymorph listed for this composition is 0.983 eV per formula unit.

=====

Material: Tc2NiSe
Method: DFT, GGA-PBE
State: relaxed

abc: 5.2874 5.2874 5.2874
angles: 147.29 133.03 58.42
Sites, in units of the cell vectors:
Tc1 0.4630 0.4630 0.0000
Tc2 0.0370 0.0370 0.0000
Se1 0.2500 0.7500 0.5000
Ni1 0.7500 0.2500 0.5000

The total DFT energy (no corrections) comes out at -0.26454 Ha/atom. The calculation puts the energy relative to the elements, uncorrected at 301 meV/atom.

=====

Material: Tc2NiSe
Method: DFT, GGA-PBE
State: relaxed

abc: 4.9851 4.9851 4.9851
angles: 144.22 129.26 63.63
Sites, in units of the cell vectors:
Tc1 0.0187 0.0187 0.0000
Tc2 0.7444 0.2444 0.5000
Ni1 0.4782 0.4782 0.0000
Se1 0.2587 0.7587 0.5000

The total DFT energy (no corrections) comes out at -0.26739 Ha/atom. The calculation puts the energy relative to the elements, uncorrected at 223 meV/atom.

=====

Material: Tc2NiSe
Method: DFT, GGA-PBE
State: relaxed

abc: 3.0795 4.2337 4.4291
angles: 90.00 90.00 90.00
Sites, in units of the cell vectors:
Tc1 0.5000 0.5000 0.0000
Tc2 0.0000 0.0000 0.0000
Se1 0.0000 0.5000 0.5000
Ni1 0.5000 0.0000 0.5000

The total DFT energy (no corrections) comes out at -0.25992 Ha/atom. The calculation puts the energy relative to the elements, uncorrected at 427 meV/atom.

=====

Material: Tc2NiSe
Method: DFT, GGA-PBE
State: relaxed

abc: 4.6522 4.6522 4.6522
angles: 131.01 131.01 71.80
Sites, in units of the cell vectors:
Ni1 0.5000 0.5000 0.0000
Tc1 0.0000 0.0000 0.0000
Tc2 0.2500 0.7500 0.5000
Se1 0.7500 0.2500 0.5000

The total DFT energy (no corrections) comes out at -0.26327 Ha/atom. The calculation puts the energy relative to the elements, uncorrected at 336 meV/atom.

=====

Material: Tc2NiSe
Method: DFT, GGA-PBE
State: relaxed

abc: 5.2908 5.2908 6.7487
angles: 66.92 66.92 90.00
Sites, in units of the cell vectors:
Tc1 0.3750 0.3928 0.7500
Tc2 0.1428 0.6250 0.2500
Tc3 0.8750 0.8572 0.7500
Tc4 0.6072 0.1250 0.2500
Ni1 0.2500 0.7500 0.5000
Ni2 0.5000 0.5000 0.0000
Se1 0.7500 0.2500 0.5000
Se2 0.0000 0.0000 0.0000

The total DFT energy (no corrections) comes out at -0.24235 Ha/atom. The calculation puts the energy relative to the elements, uncorrected at 905 meV/atom.

=====

Material: TcNiSe3
Method: DFT, GGA-PBE
State: relaxed

abc: 4.8566 4.8566 4.8566
angles: 90.00 90.00 90.00
Site moments in Bohr magnetons follow the coordinates.
Sites, in units of the cell vectors:
Tc1 0.0000 0.0000 0.0000  -0.30
Se1 0.0000 0.5000 0.0000  0.07
Se2 0.5000 0.0000 0.0000  0.02
Se3 0.0000 0.0000 0.5000  0.07
Ni1 0.5000 0.5000 0.5000  0.93

The total DFT energy (no corrections) comes out at -0.16607 Ha/atom. The calculation puts the energy relative to the elements, uncorrected at 801 meV/atom. The energy relative to the lowest polymorph listed for this composition is 0.197 eV per formula unit.

=====

Material: Tc2NiSe
Method: DFT, GGA-PBE
State: relaxed

abc: 3.7231 2.9308 5.5319
angles: 73.98 90.00 90.00
Sites, in units of the cell vectors:
Tc1 0.0000 0.8335 0.0226
Tc2 0.5000 0.1717 0.2501
Se1 0.5000 0.9498 0.6995
Ni1 0.0000 0.5451 0.5278

The total DFT energy (no corrections) comes out at -0.26889 Ha/atom. The calculation puts the energy relative to the elements, uncorrected at 183 meV/atom.

=====

Material: TcNiSe
Method: DFT, GGA-PBE
State: relaxed

abc: 4.9403 4.9403 4.9403
angles: 143.85 143.85 52.05
Site moments in Bohr magnetons follow the coordinates.
Sites, in units of the cell vectors:
Tc1 0.6725 0.6725 0.0000  0.22
Ni1 0.9937 0.9937 0.0000  0.20
Se1 0.3338 0.3338 0.0000  -0.01

The total DFT energy (no corrections) comes out at -0.23293 Ha/atom. The calculation puts the energy relative to the elements, uncorrected at 206 meV/atom. The energy relative to the lowest polymorph listed for this composition is 0.012 eV per formula unit.

=====

Material: Tc2NiSe
Method: DFT, GGA-PBE
State: relaxed

abc: 3.1448 3.1448 5.8133
angles: 90.00 90.00 90.00
Sites, in units of the cell vectors:
Tc1 0.0000 0.0000 0.0252
Tc2 0.5000 0.5000 0.2587
Se1 0.5000 0.5000 0.7011
Ni1 0.0000 0.0000 0.5150

The total DFT energy (no corrections) comes out at -0.27039 Ha/atom. The calculation puts the energy relative to the elements, uncorrected at 142 meV/atom.